--- a ---
A relaxed structure of Tl6InHg, computed with GGA-PBE.

Results
- N(E_F): 5.031 states/eV/f.u.
- V: 34.2 Å³/atom
- Space group: No. 166

Cell: 12.0313 6.5097 6.5097 Å, 93.97 51.97 128.03°
Fractional coordinates of all 8 atoms:
Tl: 0.1632 0.6264 0.0000
Tl: 0.5369 0.3736 0.6264
Tl: 0.8368 0.3736 0.0000
Tl: 0.8368 0.0000 0.6264
Tl: 0.4631 0.6264 0.3736
Tl: 0.1632 0.0000 0.3736
In: 0.0000 0.0000 0.0000
Hg: 0.5000 0.0000 0.0000

=====

--- b ---
A relaxed structure of Tl6InHg, computed with GGA-PBE.

Results
- N(E_F): 3.996 states/eV/f.u.
- V: 31.5 Å³/atom
- Space group: No. 12

Cell: 6.9719 6.9719 7.2749 Å, 105.33 105.33 121.83°
Fractional coordinates of all 8 atoms:
Tl: 0.2467 0.2467 0.7511
Tl: 0.4697 0.0138 0.2530
Tl: 0.7533 0.7533 0.2489
Tl: 0.9862 0.5303 0.7470
Tl: 0.5303 0.9862 0.7470
Tl: 0.0138 0.4697 0.2530
In: 0.5000 0.5000 0.5000
Hg: 0.0000 0.0000 0.0000

=====

If we sort the structures by their calculated energies, the order from most to least stable is b, a.

=====

--- a ---
A relaxed structure of TlIn5Hg2, computed with GGA-PBE.

Results
- N(E_F): 2.352 states/eV/f.u.
- V: 27.6 Å³/atom
- Space group: No. 14

Cell: 4.3209 7.8902 13.0641 Å, 90.00 98.08 90.00°
Fractional coordinates of all 16 atoms:
Tl: 0.0000 0.0000 0.5000
Tl: 0.0000 0.5000 0.0000
In: 0.0000 0.0000 0.0000
In: 0.0000 0.5000 0.5000
In: 0.0198 0.5041 0.7521
In: 0.9802 0.4959 0.2479
In: 0.0204 0.9958 0.2521
In: 0.9796 0.0042 0.7479
In: 0.4964 0.2408 0.8720
In: 0.5036 0.7592 0.1280
In: 0.4967 0.2592 0.3719
In: 0.5033 0.7408 0.6281
Hg: 0.5080 0.2642 0.6247
Hg: 0.4920 0.7358 0.3753
Hg: 0.5084 0.2358 0.1247
Hg: 0.4916 0.7642 0.8753

=====

--- b ---
A relaxed structure of TlIn5Hg2, computed with GGA-PBE.

Results
- N(E_F): 3.630 states/eV/f.u.
- V: 28.4 Å³/atom
- Space group: No. 71

Cell: 4.4416 7.5603 7.5603 Å, 74.70 72.92 72.92°
Fractional coordinates of all 8 atoms:
Tl: 0.0000 0.0000 0.0000
In: 0.0000 0.5000 0.5000
In: 0.6421 0.5492 0.1667
In: 0.3579 0.4508 0.8333
In: 0.3579 0.8333 0.4508
In: 0.6421 0.1667 0.5492
Hg: 0.7179 0.7821 0.7821
Hg: 0.2821 0.2179 0.2179

=====

If we sort the structures by their calculated energies, the order from most to least stable is a, b.

=====

--- a ---
A relaxed structure of Tl2In4Hg3, computed with GGA-PBE.

Results
- N(E_F): 3.599 states/eV/f.u.
- V: 28.3 Å³/atom
- Space group: No. 15

Cell: 4.1785 12.1364 12.1369 Å, 56.36 85.22 85.22°
Fractional coordinates of all 18 atoms:
Tl: 0.2100 0.7351 0.4922
Tl: 0.2901 0.5078 0.2649
Tl: 0.7900 0.2649 0.5078
Tl: 0.7099 0.4922 0.7351
In: 0.5367 0.0579 0.8286
In: 0.9633 0.1714 0.9421
In: 0.4633 0.9421 0.1714
In: 0.0367 0.8286 0.0579
In: 0.6603 0.8523 0.6150
In: 0.8397 0.3850 0.1477
In: 0.3397 0.1477 0.3850
In: 0.1603 0.6150 0.8523
Hg: 0.1055 0.9660 0.7094
Hg: 0.3945 0.2906 0.0340
Hg: 0.8945 0.0340 0.2906
Hg: 0.6055 0.7094 0.9660
Hg: 0.2500 0.3686 0.6314
Hg: 0.7500 0.6314 0.3686

=====

--- b ---
A relaxed structure of Tl2In4Hg3, computed with GGA-PBE.

Results
- N(E_F): 2.679 states/eV/f.u.
- V: 28.5 Å³/atom
- Space group: No. 64

Cell: 6.8047 9.1256 8.9414 Å, 90.00 112.37 90.00°
Fractional coordinates of all 18 atoms:
Tl: 0.1015 0.5846 0.2031
Tl: 0.8985 0.4154 0.7969
Tl: 0.3985 0.0846 0.7969
Tl: 0.6015 0.9154 0.2031
In: 0.6915 0.7500 0.8830
In: 0.8085 0.2500 0.1170
In: 0.3085 0.2500 0.1170
In: 0.1915 0.7500 0.8830
In: 0.1822 0.9848 0.3644
In: 0.8178 0.0152 0.6356
In: 0.3178 0.4848 0.6356
In: 0.6822 0.5152 0.3644
Hg: 0.0000 0.0000 0.0000
Hg: 0.5000 0.5000 0.0000
Hg: 0.5102 0.7500 0.5204
Hg: 0.9898 0.2500 0.4796
Hg: 0.4898 0.2500 0.4796
Hg: 0.0102 0.7500 0.5204

=====

If we sort the structures by their calculated energies, the order from most to least stable is b, a.

=====

--- a ---
A relaxed structure of Tl3In3Hg2, computed with GGA-PBE.

Results
- N(E_F): 3.410 states/eV/f.u.
- V: 29.1 Å³/atom
- Space group: No. 12

Cell: 4.8497 5.8313 8.7039 Å, 99.46 106.18 90.00°
Fractional coordinates of all 8 atoms:
Tl: 0.1326 0.6056 0.2652
Tl: 0.8674 0.3944 0.7348
Tl: 0.0000 0.0000 0.0000
In: 0.6291 0.1245 0.2582
In: 0.5000 0.5000 0.0000
In: 0.3709 0.8755 0.7418
Hg: 0.2458 0.2174 0.4915
Hg: 0.7542 0.7826 0.5085

=====

--- b ---
A relaxed structure of Tl3In3Hg2, computed with GGA-PBE.

Results
- N(E_F): 2.777 states/eV/f.u.
- V: 29.4 Å³/atom
- Space group: No. 63

Cell: 5.1213 6.6061 15.0701 Å, 90.00 90.00 112.81°
Fractional coordinates of all 16 atoms:
Tl: 0.9308 0.8615 0.3794
Tl: 0.0692 0.1385 0.8794
Tl: 0.9308 0.8615 0.1206
Tl: 0.0692 0.1385 0.6206
Tl: 0.6508 0.3015 0.2500
Tl: 0.3492 0.6985 0.7500
In: 0.6222 0.2444 0.4754
In: 0.3778 0.7556 0.9754
In: 0.6222 0.2444 0.0246
In: 0.3778 0.7556 0.5246
In: 0.3829 0.7658 0.2500
In: 0.6171 0.2342 0.7500
Hg: 0.8031 0.6061 0.8851
Hg: 0.1969 0.3939 0.3851
Hg: 0.8031 0.6061 0.6149
Hg: 0.1969 0.3939 0.1149

=====

If we sort the structures by their calculated energies, the order from most to least stable is b, a.

=====

--- a ---
A relaxed structure of Tl3In2Hg6, computed with GGA-PBE.

Results
- N(E_F): 4.284 states/eV/f.u.
- V: 29.6 Å³/atom
- Space group: No. 139

Cell: 4.3274 4.3274 17.6393 Å, 97.05 97.05 90.00°
Fractional coordinates of all 11 atoms:
Tl: 0.0000 0.0000 0.0000
Tl: 0.8140 0.8140 0.6279
Tl: 0.1860 0.1860 0.3721
In: 0.4551 0.4551 0.9102
In: 0.5449 0.5449 0.0898
Hg: 0.6114 0.1114 0.2229
Hg: 0.1114 0.6114 0.2229
Hg: 0.3886 0.8886 0.7771
Hg: 0.8886 0.3886 0.7771
Hg: 0.7188 0.7188 0.4376
Hg: 0.2812 0.2812 0.5624

=====

--- b ---
A relaxed structure of Tl3In2Hg6, computed with GGA-PBE.

Results
- N(E_F): 5.110 states/eV/f.u.
- V: 29.1 Å³/atom
- Space group: No. 166

Cell: 4.9551 4.9551 15.3034 Å, 80.68 80.68 60.00°
Fractional coordinates of all 11 atoms:
Tl: 0.0000 0.0000 0.0000
Tl: 0.2687 0.2687 0.1938
Tl: 0.7313 0.7313 0.8062
In: 0.4582 0.4582 0.6255
In: 0.5418 0.5418 0.3745
Hg: 0.0969 0.0969 0.7092
Hg: 0.9031 0.9031 0.2908
Hg: 0.1807 0.1807 0.4578
Hg: 0.8193 0.8193 0.5422
Hg: 0.3654 0.3654 0.9037
Hg: 0.6346 0.6346 0.0963

=====

If we sort the structures by their calculated energies, the order from most to least stable is b, a.

=====

--- a ---
A relaxed structure of TlIn4Hg3, computed with GGA-PBE.

Results
- N(E_F): 3.477 states/eV/f.u.
- V: 27.8 Å³/atom
- Space group: No. 166

Cell: 4.9210 4.9210 10.9777 Å, 77.05 77.05 60.00°
Fractional coordinates of all 8 atoms:
Tl: 0.0000 0.0000 0.0000
In: 0.6170 0.6170 0.1490
In: 0.8740 0.8740 0.3781
In: 0.3830 0.3830 0.8510
In: 0.1260 0.1260 0.6219
Hg: 0.7498 0.7498 0.7505
Hg: 0.5000 0.5000 0.5000
Hg: 0.2502 0.2502 0.2495

=====

--- b ---
A relaxed structure of TlIn4Hg3, computed with GGA-PBE.

Results
- N(E_F): 2.941 states/eV/f.u.
- V: 27.5 Å³/atom
- Space group: No. 12

Cell: 3.4012 5.8943 11.4154 Å, 104.96 96.06 90.00°
Fractional coordinates of all 8 atoms:
Tl: 0.0000 0.5000 0.0000
Hg: 0.5000 0.0000 0.0000
Hg: 0.7369 0.2431 0.4863
Hg: 0.2631 0.7569 0.5137
In: 0.6377 0.6352 0.2703
In: 0.3623 0.3648 0.7297
In: 0.8807 0.8788 0.7575
In: 0.1193 0.1212 0.2425

=====

If we sort the structures by their calculated energies, the order from most to least stable is b, a.

=====

--- a ---
A relaxed structure of TlZnInHg2, computed with GGA-PBE.

Results
- N(E_F): 3.405 states/eV/f.u.
- V: 29.7 Å³/atom
- Space group: No. 123

Cell: 5.2548 5.2548 5.3741 Å, 90.00 90.00 90.00°
Fractional coordinates of all 5 atoms:
Zn: 0.0000 0.0000 0.0000
Tl: 0.0000 0.0000 0.5000
Hg: 0.0000 0.5000 0.0000
Hg: 0.5000 0.0000 0.0000
In: 0.5000 0.5000 0.5000

=====

--- b ---
A relaxed structure of TlZnInHg2, computed with GGA-PBE.

Results
- N(E_F): 2.429 states/eV/f.u.
- V: 29.5 Å³/atom
- Space group: No. 123

Cell: 5.2928 5.2928 5.2570 Å, 90.00 90.00 90.00°
Fractional coordinates of all 5 atoms:
Zn: 0.0000 0.0000 0.0000
Tl: 0.5000 0.5000 0.5000
Hg: 0.0000 0.5000 0.0000
Hg: 0.5000 0.0000 0.0000
In: 0.0000 0.0000 0.5000

=====

If we sort the structures by their calculated energies, the order from most to least stable is b, a.

=====

--- a ---
A relaxed structure of TlZnIn2Hg, computed with GGA-PBE.

Results
- N(E_F): 2.936 states/eV/f.u.
- V: 29.6 Å³/atom
- Space group: No. 123

Cell: 5.3035 5.3035 5.2615 Å, 90.00 90.00 90.00°
Fractional coordinates of all 5 atoms:
Zn: 0.0000 0.0000 0.0000
Tl: 0.5000 0.5000 0.5000
Hg: 0.0000 0.0000 0.5000
In: 0.0000 0.5000 0.0000
In: 0.5000 0.0000 0.0000

=====

--- b ---
A relaxed structure of TlZnIn2Hg, computed with GGA-PBE.

Results
- N(E_F): 1.590 states/eV/f.u.
- V: 30.2 Å³/atom
- Space group: No. 123

Cell: 5.2677 5.2677 5.4504 Å, 90.00 90.00 90.00°
Fractional coordinates of all 5 atoms:
Zn: 0.0000 0.0000 0.0000
Tl: 0.0000 0.0000 0.5000
Hg: 0.5000 0.5000 0.5000
In: 0.0000 0.5000 0.0000
In: 0.5000 0.0000 0.0000

=====

If we sort the structures by their calculated energies, the order from most to least stable is a, b.

=====

--- a ---
A relaxed structure of Tm2InHg5, computed with GGA-PBE.

Results
- N(E_F): 4.548 states/eV/f.u.
- V: 24.6 Å³/atom
- Space group: No. 139

Cell: 5.3611 5.3611 7.8278 Å, 110.03 110.03 90.00°
Fractional coordinates of all 8 atoms:
Tm: 0.7509 0.7509 0.5019
Tm: 0.2491 0.2491 0.4981
In: 0.0000 0.0000 0.0000
Hg: 0.5000 0.5000 0.0000
Hg: 0.8726 0.3726 0.7452
Hg: 0.3726 0.8726 0.7452
Hg: 0.1274 0.6274 0.2548
Hg: 0.6274 0.1274 0.2548

=====

--- b ---
A relaxed structure of Tm2InHg5, computed with GGA-PBE.

Results
- N(E_F): 5.943 states/eV/f.u.
- V: 23.9 Å³/atom
- Space group: No. 55

Cell: 4.6627 6.3982 12.8273 Å, 90.00 90.00 90.00°
Fractional coordinates of all 16 atoms:
Tm: 0.5000 0.2657 0.6269
Tm: 0.5000 0.7343 0.3731
Tm: 0.5000 0.2343 0.1269
Tm: 0.5000 0.7657 0.8731
In: 0.0000 0.0000 0.5000
In: 0.0000 0.5000 0.0000
Hg: 0.0000 0.0000 0.0000
Hg: 0.0000 0.5000 0.5000
Hg: 0.0000 0.5153 0.7522
Hg: 0.0000 0.4847 0.2478
Hg: 0.0000 0.9847 0.2522
Hg: 0.0000 0.0153 0.7478
Hg: 0.5000 0.2627 0.8773
Hg: 0.5000 0.7373 0.1227
Hg: 0.5000 0.2373 0.3773
Hg: 0.5000 0.7627 0.6227

=====

If we sort the structures by their calculated energies, the order from most to least stable is b, a.

=====

--- a ---
A relaxed structure of TmIn3Hg6, computed with GGA-PBE.

Results
- N(E_F): 4.537 states/eV/f.u.
- V: 26.1 Å³/atom
- Space group: No. 11

Cell: 3.7176 11.1348 14.3809 Å, 118.68 90.00 90.00°
Fractional coordinates of all 20 atoms:
Tm: 0.7500 0.0185 0.6406
Tm: 0.2500 0.9815 0.3594
In: 0.7500 0.3519 0.8008
In: 0.2500 0.6481 0.1992
In: 0.7500 0.5199 0.4163
In: 0.2500 0.4801 0.5837
In: 0.7500 0.1326 0.0265
In: 0.2500 0.8674 0.9735
Hg: 0.7500 0.6045 0.7782
Hg: 0.2500 0.3955 0.2218
Hg: 0.7500 0.8568 0.1560
Hg: 0.2500 0.1432 0.8440
Hg: 0.7500 0.4077 0.0360
Hg: 0.2500 0.5923 0.9640
Hg: 0.7500 0.7951 0.4062
Hg: 0.2500 0.2049 0.5938
Hg: 0.7500 0.2368 0.4213
Hg: 0.2500 0.7632 0.5787
Hg: 0.7500 0.8737 0.7840
Hg: 0.2500 0.1263 0.2160

=====

--- b ---
A relaxed structure of TmIn3Hg6, computed with GGA-PBE.

Results
- N(E_F): 3.918 states/eV/f.u.
- V: 26.3 Å³/atom
- Space group: No. 167

Cell: 8.4666 8.4666 8.4666 Å, 105.36 105.36 105.36°
Fractional coordinates of all 20 atoms:
Tm: 0.0000 0.0000 0.0000
Tm: 0.5000 0.5000 0.5000
In: 0.0897 0.4102 0.2501
In: 0.2501 0.0897 0.4102
In: 0.5898 0.7499 0.9103
In: 0.4102 0.2501 0.0897
In: 0.7499 0.9103 0.5898
In: 0.9103 0.5898 0.7499
Hg: 0.9658 0.6947 0.1437
Hg: 0.8563 0.0342 0.3053
Hg: 0.1948 0.4656 0.6440
Hg: 0.3053 0.8563 0.0342
Hg: 0.4656 0.6440 0.1948
Hg: 0.3560 0.8052 0.5344
Hg: 0.6440 0.1948 0.4656
Hg: 0.5344 0.3560 0.8052
Hg: 0.6947 0.1437 0.9658
Hg: 0.8052 0.5344 0.3560
Hg: 0.1437 0.9658 0.6947
Hg: 0.0342 0.3053 0.8563

=====

If we sort the structures by their calculated energies, the order from most to least stable is b, a.